# BeIrPt, relaxed, DFT PBE
data_BeIrPt
_chemical_formula_sum 'Be4 Ir4 Pt4'
_cell_length_a 2.7482
_cell_length_b 4.6293
_cell_length_c 12.6128
_cell_angle_alpha 90.00
_cell_angle_beta 90.00
_cell_angle_gamma 90.00
_symmetry_space_group_name_H-M 'F m m 2'
_symmetry_Int_Tables_number 42
_symmetry_space_group_name_Hall 'F 2 -2'
loop_
_atom_site_label
_atom_site_type_symbol
_atom_site_fract_x
_atom_site_fract_y
_atom_site_fract_z
_atom_site_occupancy
Be1 Be 0.0000 0.0000 0.0000 1
Ir1 Ir 0.0000 0.0000 0.3557 1
Pt1 Pt 0.0000 0.0000 0.6494 1
# **Offset from the most stable computed form**: 0.156 eV per atom
# **Final energy**: -77.0 eV for the cell shown
# **Total magnetization**: 0.000 μB per formula unit
# **Crystal system**: orthorhombic
# **Energy of formation from the pure elements**: -0.6 eV per formula unit

=====

# Zr2CoSi2, relaxed, DFT PBE
data_Zr2CoSi2
_chemical_formula_sum 'Zr4 Co2 Si4'
_cell_length_a 4.2198
_cell_length_b 4.2198
_cell_length_c 11.1807
_cell_angle_alpha 90.00
_cell_angle_beta 90.00
_cell_angle_gamma 90.00
_symmetry_space_group_name_H-M 'I 4/m m m'
_symmetry_Int_Tables_number 139
_symmetry_space_group_name_Hall '-I 4 2'
loop_
_atom_site_label
_atom_site_type_symbol
_atom_site_fract_x
_atom_site_fract_y
_atom_site_fract_z
_atom_site_occupancy
Zr1 Zr 0.0000 0.5000 0.2500 1
Co1 Co 0.0000 0.0000 0.0000 1
Si1 Si 0.0000 0.0000 0.4009 1
# **E_form (uncorrected)**: 0.312 eV/atom
# **Final energy**: -67.0 eV for the cell shown
# **Total magnetization**: 2.353 μB per formula unit
# **Crystal system**: tetragonal

=====

# Re2HgTe, relaxed, DFT PBE
data_Re2HgTe
_chemical_formula_sum 'Re6 Hg3 Te3'
_cell_length_a 2.9459
_cell_length_b 2.9459
_cell_length_c 32.0693
_cell_angle_alpha 90.00
_cell_angle_beta 90.00
_cell_angle_gamma 120.00
_symmetry_space_group_name_H-M 'R 3 m'
_symmetry_Int_Tables_number 160
_symmetry_space_group_name_Hall 'R 3 -2"'
loop_
_atom_site_label
_atom_site_type_symbol
_atom_site_fract_x
_atom_site_fract_y
_atom_site_fract_z
_atom_site_occupancy
Re1 Re 0.0000 0.0000 0.0000 1
Re2 Re 0.0000 0.0000 0.2710 1
Hg1 Hg 0.0000 0.0000 0.5238 1
Te1 Te 0.0000 0.0000 0.7445 1
# **E_form (uncorrected)**: 0.535 eV/atom
# **Offset from the most stable computed form**: 0.169 eV per atom
# **Final energy**: -78.6 eV for the cell shown
# **Total magnetization**: 0.000 μB per formula unit
# **Crystal system**: trigonal

=====

# Cu5Se4, relaxed, DFT PBE
data_Cu5Se4
_chemical_formula_sum 'Cu10 Se8'
_cell_length_a 9.2577
_cell_length_b 9.2577
_cell_length_c 3.6813
_cell_angle_alpha 90.00
_cell_angle_beta 90.00
_cell_angle_gamma 90.00
_symmetry_space_group_name_H-M 'I 4/m m m'
_symmetry_Int_Tables_number 139
_symmetry_space_group_name_Hall '-I 4 2'
loop_
_atom_site_label
_atom_site_type_symbol
_atom_site_fract_x
_atom_site_fract_y
_atom_site_fract_z
_atom_site_occupancy
Cu1 Cu 0.0000 0.0000 0.0000 1
Cu2 Cu 0.1539 0.1539 0.5000 1
Se1 Se 0.0000 0.2687 0.0000 1
# **E_form (uncorrected)**: 0.032 eV/atom
# **Offset from the most stable computed form**: 0.000 eV per atom
# **Final energy**: -68.3 eV for the cell shown
# **Total magnetization**: 0.000 μB per formula unit
# **Crystal system**: tetragonal

=====

# BeZn2Rh2, relaxed, DFT PBE
data_BeZn2Rh2
_chemical_formula_sum 'Be2 Zn4 Rh4'
_cell_length_a 5.9609
_cell_length_b 5.9609
_cell_length_c 3.9189
_cell_angle_alpha 90.00
_cell_angle_beta 90.00
_cell_angle_gamma 90.00
_symmetry_space_group_name_H-M 'P 4/m b m'
_symmetry_Int_Tables_number 127
_symmetry_space_group_name_Hall '-P 4 2ab'
loop_
_atom_site_label
_atom_site_type_symbol
_atom_site_fract_x
_atom_site_fract_y
_atom_site_fract_z
_atom_site_occupancy
Be1 Be 0.0000 0.0000 0.0000 1
Zn1 Zn 0.1562 0.3438 0.5000 1
Rh1 Rh 0.1551 0.6551 0.0000 1
# **Offset from the most stable computed form**: 0.000 eV per atom
# **Final energy**: -45.2 eV for the cell shown
# **Total magnetization**: 0.000 μB per formula unit
# **Crystal system**: tetragonal
# **Energy of formation from the pure elements**: -1.6 eV per formula unit

=====

# LaNd4Dy4, relaxed, DFT PBE
data_LaNd4Dy4
_chemical_formula_sum 'La2 Nd8 Dy8'
_cell_length_a 6.2873
_cell_length_b 9.6039
_cell_length_c 10.8885
_cell_angle_alpha 100.80
_cell_angle_beta 106.76
_cell_angle_gamma 96.32
_symmetry_space_group_name_H-M 'P -1'
_symmetry_Int_Tables_number 2
loop_
_symmetry_equiv_pos_as_xyz
'x,y,z'
'-x,-y,-z'
loop_
_atom_site_label
_atom_site_type_symbol
_atom_site_fract_x
_atom_site_fract_y
_atom_site_fract_z
_atom_site_occupancy
La1 La 0.2501 0.0838 0.3031 1
Nd1 Nd 0.2480 0.7468 0.0821 1
Nd2 Nd 0.2511 0.0847 0.6409 1
Nd3 Nd 0.2510 0.7485 0.7514 1
Nd4 Nd 0.2524 0.4176 0.5287 1
Dy1 Dy 0.2454 0.7472 0.4143 1
Dy2 Dy 0.2501 0.4168 0.8629 1
Dy3 Dy 0.2498 0.4188 0.1922 1
Dy4 Dy 0.2524 0.0846 0.9723 1
# **Final energy**: -84.5 eV for the cell shown
# **Total magnetization**: 0.000 μB per formula unit
# **Crystal system**: triclinic
# **Energy of formation from the pure elements**: 0.2 eV per formula unit